## 1
First-principles (PBE-GGA) data for a geometry-optimized NdSnAu3 structure, as listed in Alexandria.

Structure (extended XYZ):
```
20
Lattice="7.675 0.000 0.000 0.000 7.208 -2.207 0.000 -0.454 8.445" Properties=species:S:1:pos:R:3 pbc="T T T"
Nd 3.490 2.069 1.560
Au 1.392 3.612 3.339
Au 6.283 3.142 2.899
Sn 5.557 0.519 3.685
Au 4.395 4.912 1.542
Au 2.993 0.429 7.114
Au 2.445 3.839 -0.883
Nd 0.348 1.842 5.782
Au 4.681 6.325 -0.877
Sn 5.956 0.292 7.907
Au 5.230 2.915 7.121
Sn 1.719 6.462 -1.670
Au 3.280 1.842 4.695
Nd 7.327 4.912 0.455
Au 0.844 0.656 2.892
Sn 2.118 6.235 2.553
Nd 4.185 4.685 4.677
Au 7.118 4.685 5.765
Au 0.557 2.069 0.473
Au 6.831 6.098 3.345
```

Output
- Symmetry: P2_1/c, No. 14
- Total magnetization: 0.00 μB per formula unit

=====

## 2
First-principles (PBE-GGA) data for a geometry-optimized NdSnAu3 structure, as listed in Alexandria.

Structure (extended XYZ):
```
20
Lattice="-0.692 -4.678 1.729 8.745 -2.093 -2.165 2.854 2.829 8.794" Properties=species:S:1:pos:R:3 pbc="T T T"
Au 2.803 -1.312 8.566
Sn 3.488 -3.913 1.804
Au 6.595 -2.934 5.695
Au 5.581 -1.917 8.041
Au 9.275 -3.636 4.868
Sn 2.520 0.496 6.014
Nd 6.199 -5.092 -0.300
Au 1.632 -0.306 3.490
Au 5.094 -0.172 5.238
Au 10.076 -0.614 6.036
Nd 7.693 -1.272 3.301
Au 8.104 -2.630 -0.208
Sn 8.387 -4.438 2.344
Au 5.326 -2.025 0.317
Au 0.831 -3.329 2.322
Sn 7.419 -0.029 6.554
Nd 3.214 -2.670 5.057
Au 4.312 -1.008 2.663
Au 5.814 -3.771 3.120
Nd 4.708 1.150 8.658
```

Output
- Symmetry: Pnma, No. 62
- Total magnetization: 0.00 μB per formula unit

=====

Of them, 2 has the highest stability.

=====

## 1
First-principles (PBE-GGA) data for a geometry-optimized SrNd3Au2 structure, as listed in Alexandria.

Structure (extended XYZ):
```
12
Lattice="-4.799 2.100 1.261 2.091 -6.335 6.999 3.530 8.407 -0.565" Properties=species:S:1:pos:R:3 pbc="T T T"
Nd 1.988 1.932 4.349
Nd -0.578 1.422 6.946
Nd 1.400 2.751 0.748
Nd -1.166 2.241 3.346
Au -1.922 -0.361 4.797
Sr 0.692 5.107 5.644
Sr 0.130 -0.935 2.051
Au 0.600 8.156 0.212
Nd 0.113 5.929 2.070
Au 2.744 4.533 2.897
Nd 0.709 -1.757 5.624
Au 0.223 -3.984 7.483
```

Output
- Symmetry: C2/m, No. 12
- Total magnetization: 0.00 μB per formula unit

=====

## 2
First-principles (PBE-GGA) data for a geometry-optimized SrNd3Au2 structure, as listed in Alexandria.

Structure (extended XYZ):
```
12
Lattice="5.120 0.000 0.000 0.000 7.749 0.000 0.000 0.000 9.228" Properties=species:S:1:pos:R:3 pbc="T T T"
Sr 2.560 0.117 3.930
Au 0.000 1.861 6.031
Au 2.560 2.014 1.370
Nd 2.560 5.030 1.496
Nd 2.560 1.156 7.733
Au 2.560 5.889 7.858
Au 0.000 5.735 3.197
Nd 0.000 6.606 6.259
Nd 0.000 2.731 2.970
Nd 0.000 3.745 8.517
Sr 2.560 3.992 5.299
Nd 0.000 7.620 0.712
```

Output
- Symmetry: Pmc2_1, No. 26
- Total magnetization: 0.00 μB per formula unit

=====

Of them, 2 has the highest stability.

=====

## 1
First-principles (PBE-GGA) data for a geometry-optimized SrNdAu structure, as listed in Alexandria.

Structure (extended XYZ):
```
6
Lattice="5.136 0.000 0.000 0.000 5.136 0.000 0.000 0.000 7.791" Properties=species:S:1:pos:R:3 pbc="T T T"
Au 0.000 2.568 2.267
Sr 0.000 2.568 6.833
Nd 2.568 2.568 3.896
Sr 2.568 0.000 0.958
Au 2.568 0.000 5.524
Nd 0.000 0.000 3.896
```

Output
- Symmetry: P4/nmm, No. 129
- Total magnetization: 0.00 μB per formula unit

=====

## 2
First-principles (PBE-GGA) data for a geometry-optimized SrNdAu structure, as listed in Alexandria.

Structure (extended XYZ):
```
3
Lattice="-4.096 2.959 1.407 -4.499 -0.306 -2.679 -4.213 -2.225 2.195" Properties=species:S:1:pos:R:3 pbc="T T T"
Sr 0.000 0.000 0.000
Au -3.202 0.107 0.231
Nd -6.404 0.214 0.461
```

Output
- Symmetry: F-43m, No. 216
- Total magnetization: 0.00 μB per formula unit

=====

## 3
First-principles (PBE-GGA) data for a geometry-optimized SrNdAu structure, as listed in Alexandria.

Structure (extended XYZ):
```
3
Lattice="4.724 0.000 0.000 0.000 5.024 0.000 0.000 -2.512 4.351" Properties=species:S:1:pos:R:3 pbc="T T T"
Nd 0.580 0.000 0.000
Sr 2.970 2.512 1.450
Au 1.175 0.000 2.901
```

Output
- Symmetry: P3m1, No. 156
- Total magnetization: 0.00 μB per formula unit

=====

Of them, 1 has the highest stability.

=====

## 1
First-principles (PBE-GGA) data for a geometry-optimized Tb2NdAu2 structure, as listed in Alexandria.

Structure (extended XYZ):
```
10
Lattice="3.821 0.000 0.000 0.000 8.294 0.000 0.000 0.000 8.294" Properties=species:S:1:pos:R:3 pbc="T T T"
Au 1.910 3.068 3.068
Tb 0.000 2.801 5.492
Au 1.910 5.225 5.225
Nd 1.910 0.000 4.147
Au 1.910 7.215 1.078
Tb 0.000 6.948 6.948
Au 1.910 1.078 7.215
Tb 0.000 5.492 2.801
Tb 0.000 1.345 1.345
Nd 1.910 4.147 0.000
```

Output
- Symmetry: P4/mbm, No. 127
- Total magnetization: 0.00 μB per formula unit

=====

## 2
First-principles (PBE-GGA) data for a geometry-optimized Tb2NdAu2 structure, as listed in Alexandria.

Structure (extended XYZ):
```
5
Lattice="-0.999 -4.173 2.420 4.738 -1.314 -0.308 -0.832 5.462 3.974" Properties=species:S:1:pos:R:3 pbc="T T T"
Tb 2.888 0.702 2.361
Nd 0.000 0.000 0.000
Tb 0.019 -0.728 3.726
Au 0.809 2.072 3.873
Au 2.098 -2.098 2.214
```

Output
- Symmetry: C2/m, No. 12
- Total magnetization: 0.00 μB per formula unit

=====

Of them, 1 has the highest stability.

=====

## 1
First-principles (PBE-GGA) data for a geometry-optimized TbNd2Au structure, as listed in Alexandria.

Structure (extended XYZ):
```
4
Lattice="-1.352 3.127 -1.100 -3.447 0.765 0.588 1.146 5.997 9.810" Properties=species:S:1:pos:R:3 pbc="T T T"
Au -1.827 4.944 4.649
Tb 0.000 0.000 0.000
Nd -3.983 5.290 2.457
Nd 0.329 4.599 6.840
```

Output
- Symmetry: R-3m, No. 166
- Total magnetization: 0.32 μB per formula unit

=====

## 2
First-principles (PBE-GGA) data for a geometry-optimized TbNd2Au structure, as listed in Alexandria.

Structure (extended XYZ):
```
16
Lattice="-4.714 -4.846 -0.008 1.039 -1.000 -6.999 7.124 -6.933 2.048" Properties=species:S:1:pos:R:3 pbc="T T T"
Nd -0.896 -2.105 -1.264
Au 1.982 -2.356 -2.295
Tb 4.100 -7.475 -1.842
Nd 0.421 -8.103 -0.997
Nd 4.346 -10.674 -3.695
Nd 0.244 -1.967 -4.762
Tb -2.302 -5.967 0.381
Au 0.576 -4.836 -5.798
Tb -0.651 -5.304 -3.116
Nd 3.028 -4.677 -3.962
Au 2.874 -7.943 0.839
Nd 3.205 -10.812 -0.196
Nd 1.562 -7.965 -4.495
Au 1.467 -10.424 -2.664
Tb 5.751 -6.812 -5.340
Nd 1.888 -4.815 -0.463
```

Output
- Symmetry: Pnma, No. 62
- Total magnetization: 0.00 μB per formula unit

=====

Of them, 2 has the highest stability.

=====

## 1
First-principles (PBE-GGA) data for a geometry-optimized Nd2Te4Au structure, as listed in Alexandria.

Structure (extended XYZ):
```
14
Lattice="7.870 0.000 0.197 0.000 6.314 0.000 -2.674 0.000 8.501" Properties=species:S:1:pos:R:3 pbc="T T T"
Te 3.412 0.040 2.198
Nd 0.879 1.578 3.795
Nd 4.317 4.735 4.903
Te 1.784 3.197 6.500
Te -1.736 4.735 7.323
Au 4.049 1.578 7.208
Te 5.685 1.578 5.084
Au 1.148 4.735 1.490
Nd 5.975 4.735 0.757
Nd -0.778 1.578 7.941
Te -0.489 4.735 3.613
Te 3.412 3.117 2.198
Te 6.933 1.578 1.375
Te 1.784 6.274 6.500
```

Output
- Symmetry: P2_1/m, No. 11
- Total magnetization: 0.00 μB per formula unit

=====

## 2
First-principles (PBE-GGA) data for a geometry-optimized Nd2Te4Au structure, as listed in Alexandria.

Structure (extended XYZ):
```
14
Lattice="6.303 0.000 0.000 0.000 7.404 -1.367 0.000 -0.414 9.627" Properties=species:S:1:pos:R:3 pbc="T T T"
Te 1.576 7.082 -0.123
Nd 4.727 5.902 0.039
Au 1.576 4.474 8.032
Nd 4.727 5.431 4.340
Te 0.058 3.871 2.001
Nd 1.576 1.558 3.920
Te 3.093 3.871 2.001
Te 6.244 3.118 6.259
Nd 1.576 1.087 8.221
Te 1.576 6.475 4.498
Au 4.727 2.515 0.228
Te 3.210 3.118 6.259
Te 4.727 -0.093 8.383
Te 4.727 0.514 3.762
```

Output
- Symmetry: P2_1/m, No. 11
- Total magnetization: 0.00 μB per formula unit

=====

Of them, 1 has the highest stability.

=====

## 1
First-principles (PBE-GGA) data for a geometry-optimized NdThAu4 structure, as listed in Alexandria.

Structure (extended XYZ):
```
6
Lattice="-0.029 -1.921 2.976 4.791 0.529 0.389 -1.111 6.822 4.393" Properties=species:S:1:pos:R:3 pbc="T T T"
Au 2.002 1.558 3.127
Au 4.579 0.707 2.603
Au 3.842 5.231 5.516
Nd 1.245 5.155 7.550
Th 4.196 2.008 5.548
Au 1.628 3.850 4.604
```

Output
- Symmetry: Pmmm, No. 47
- Total magnetization: 0.00 μB per formula unit

=====

## 2
First-principles (PBE-GGA) data for a geometry-optimized NdThAu4 structure, as listed in Alexandria.

Structure (extended XYZ):
```
6
Lattice="3.841 -0.494 -0.210 0.482 3.842 -0.210 0.560 0.433 9.294" Properties=species:S:1:pos:R:3 pbc="T T T"
Nd 2.441 1.891 4.437
Au 2.256 1.747 1.345
Au 4.509 3.493 2.688
Au 2.627 2.035 7.529
Th 0.000 0.000 0.000
Au 0.373 0.289 6.186
```

Output
- Symmetry: P4/mmm, No. 123
- Total magnetization: 0.00 μB per formula unit

=====

Of them, 1 has the highest stability.

=====

## 1
First-principles (PBE-GGA) data for a geometry-optimized NdTh2Au structure, as listed in Alexandria.

Structure (extended XYZ):
```
4
Lattice="3.699 0.000 0.000 0.000 3.699 0.000 0.000 0.000 8.761" Properties=species:S:1:pos:R:3 pbc="T T T"
Nd 1.850 1.850 4.380
Th 0.000 0.000 6.897
Au 1.850 1.850 0.000
Th 0.000 0.000 1.864
```

Output
- Symmetry: P4/mmm, No. 123
- Total magnetization: 0.00 μB per formula unit

=====

## 2
First-principles (PBE-GGA) data for a geometry-optimized NdTh2Au structure, as listed in Alexandria.

Structure (extended XYZ):
```
4
Lattice="-3.061 -2.063 -0.334 0.236 -3.698 0.103 -2.203 -1.714 10.212" Properties=species:S:1:pos:R:3 pbc="T T T"
Th -1.217 -1.875 2.165
Nd -2.514 -3.737 4.991
Au 0.000 0.000 0.000
Th -3.812 -5.599 7.816
```

Output
- Symmetry: R-3m, No. 166
- Total magnetization: 0.00 μB per formula unit

=====

Of them, 1 has the highest stability.